Compound: YSc2Sn2
Source: Alexandria via LeMat-Bulk
Functional: GGA-PBE
Structure: relaxed

* total moment: 2.0 Bohr magnetons per cell
* formation energy: -571 meV/atom
* D(E_F): 1.14 states/eV per atom
* electronic total energy: -60.0 eV/cell

Unit cell a=8.4889 b=8.4889 c=3.4918 alpha=90.00 beta=90.00 gamma=90.00
Space group P4/mbm (No. 127)
One atom of each set of equivalent atoms:
Y (0.0000, 0.0000, 0.0000) x2
Sc (0.1407, 0.3593, 0.5000) x4
Sn (0.1568, 0.6568, 0.0000) x4